Record 1
Compound: Tb5CeSm2Tm
Source: the Alexandria database
Functional: PBE
Structure: optimized geometry

abc: 10.6415 10.6415 10.2334
angles: 90.00 90.00 149.36
Last column: nearest neighbours and their distance in Å.
Positions (direct):
Tb 0.0153 0.9847 0.5000  2 Tm 3.31, 4 Sm 3.34-3.69, 2 Tb 3.63
Tb 0.2731 0.7269 0.7998  1 Tm 3.06, 1 Sm 3.27, 2 Tb 3.39
Tb 0.3001 0.6999 0.1868  4 Tb 3.39-3.76, 1 Tm 3.40, 2 Ce 3.42, 3 Sm 3.52-3.76
Tb 0.3874 0.6126 0.5103  6 Tb 3.47-3.85, 4 Sm 3.49-3.53
Tb 0.4785 0.5215 0.2244  2 Tm 3.18-3.33, 2 Tb 3.47-3.52, 2 Sm 3.48
Tb 0.5215 0.4785 0.7244  2 Tm 3.18-3.33, 2 Tb 3.47-3.52, 2 Sm 3.48
Tb 0.6126 0.3874 0.0103  6 Tb 3.47-3.85, 4 Sm 3.49-3.53
Tb 0.6999 0.3001 0.6868  4 Tb 3.39-3.76, 1 Tm 3.40, 2 Ce 3.42, 3 Sm 3.52-3.76
Tb 0.7269 0.2731 0.2998  1 Tm 3.06, 1 Sm 3.27, 2 Tb 3.39
Tb 0.9847 0.0153 0.0000  2 Tm 3.31, 4 Sm 3.34-3.69, 2 Tb 3.63
Ce 0.1971 0.8029 0.4974  2 Sm 3.35-3.55, 6 Tb 3.42-3.73, 2 Tm 3.59
Ce 0.8029 0.1971 0.9974  2 Sm 3.35-3.55, 6 Tb 3.42-3.73, 2 Tm 3.59
Sm 0.1139 0.8861 0.8010  8 Tb 3.27-3.53, 1 Ce 3.55
Sm 0.1176 0.8824 0.2117  1 Ce 3.35, 6 Tb 3.48-3.71, 2 Tm 3.64
Sm 0.8824 0.1176 0.7117  1 Ce 3.35, 6 Tb 3.48-3.71, 2 Tm 3.64
Sm 0.8861 0.1139 0.3010  8 Tb 3.27-3.53, 1 Ce 3.55
Tm 0.4065 0.5935 0.9324  6 Tb 3.06-3.40
Tm 0.5935 0.4065 0.4324  6 Tb 3.06-3.40

Results
magnetic moment = 0.0909 μB/atom
space-group type = Cmc2_1 (36)

---

Record 2
Compound: YMgMn
Source: the Alexandria database
Functional: PBE
Structure: optimized geometry

abc: 4.7829 4.7829 4.7829
angles: 60.00 60.00 60.00
Last column: nearest neighbours and their distance in Å.
Positions (direct):
Y 0.0000 0.0000 0.0000  4 Mn 2.93
Mg 0.5000 0.5000 0.5000  4 Mn 2.93
Mn 0.7500 0.7500 0.7500  4 Y 2.93, 4 Mg 2.93

Results
magnetic moment = 1.0863 μB/atom
space-group type = F-43m (216)

---

Density readings, ordered: 7.9; 3.6 g/cm³
E_tot readings, ordered: -4.611; -5.276 eV/atom